{
  "formula": "Li2NiPt",
  "functional": "PBE",
  "state": "relaxed",
  "total_energy_ev_per_atom": -4.165,
  "density_g_cm3": 8.40,
  "formation_energy_ev_per_atom": -0.2530,
  "e_above_lowest_polymorph_mev_per_atom": 107,
  "cell": [[-1.751, 0.525, 1.915], [1.175, -2.372, 0.048], [6.227, 3.181, 4.822]],
  "species": ["Ni", "Pt", "Li", "Li"],
  "fractional_positions": [[0.500, 0.500, 0.250], [0.500, 0.500, 0.750], [0.000, 0.000, 0.492], [0.000, 0.000, 0.008]]
}